PrUV: optimized geometry, GGA-PBE.

Values from the calculation:
**Energy relative to the elements**: 0.431 eV per atom
**Space group**: C2/m
**D(E_F)**: 2.307 states/eV per atom
**Crystal system**: monoclinic

Unit cell a=3.2380 b=6.9799 c=6.8746 alpha=72.62 beta=76.38 gamma=76.59
With the nearest neighbours (Å) after each atom.
Positions (direct):
Pr 0.3977 0.7713 0.4332  3 Pr 3.24-3.56, 4 V 3.32-3.34, 5 U 3.48-3.62
Pr 0.6023 0.2287 0.5668  3 Pr 3.24-3.56, 4 V 3.32-3.34, 5 U 3.48-3.62
U 0.1187 0.8251 0.9374  1 V 2.26
U 0.8813 0.1749 0.0626  1 V 2.26
V 0.8305 0.4916 0.8475  1 U 2.26
V 0.1695 0.5084 0.1525  1 U 2.26